VASP calculation (PBE-GGA) on an optimized crystal structure of Ho8ZnTe4Se3.

Output
The spin magnetization comes out at 0.000 μB/f.u. The value obtained for the energy relative to the elements, uncorrected is -1.3415 eV/atom.

abc: 8.356 8.512 8.356
angles: 119.40 120.00 90.00
Positions (direct):
Te 0.000 0.000 0.500
Ho 0.765 0.280 0.530
Ho 0.765 0.280 0.015
Zn 0.000 0.500 0.000
Ho 0.235 0.720 0.470
Se 0.000 0.500 0.500
Te 0.500 0.000 0.000
Ho 0.750 0.720 0.985
Se 0.500 0.500 0.500
Se 0.500 0.500 0.000
Te 0.000 0.000 0.000
Ho 0.250 0.280 0.015
Ho 0.739 0.718 0.479
Te 0.500 0.000 0.500
Ho 0.261 0.282 0.521
Ho 0.235 0.720 0.985

VASP calculation (PBE-GGA) on an optimized crystal structure of Ho3ThSe4.

Output
The spin magnetization comes out at 0.000 μB/f.u. The value obtained for the energy relative to the elements, uncorrected is -1.6594 eV/atom.

abc: 4.049 7.125 7.125
angles: 108.96 90.00 90.00
Positions (direct):
Se 0.500 0.255 0.745
Th 0.500 0.000 0.000
Ho 0.000 0.000 0.500
Ho 0.500 0.500 0.500
Se 0.000 0.739 0.739
Se 0.500 0.745 0.255
Ho 0.000 0.500 0.000
Se 0.000 0.261 0.261

VASP calculation (PBE-GGA) on an optimized crystal structure of HoThSe3.

Output
The spin magnetization comes out at 0.261 μB/f.u. The value obtained for the energy relative to the elements, uncorrected is -1.6484 eV/atom.

abc: 4.203 7.272 10.745
angles: 90.00 101.28 90.00
Positions (direct):
Se 0.595 0.335 0.190
Th 0.661 0.994 0.321
Se 0.749 0.659 0.498
Ho 0.164 0.491 0.328
Se 0.909 0.315 0.818
Ho 0.836 0.991 0.672
Se 0.405 0.835 0.810
Th 0.339 0.494 0.679
Se 0.251 0.159 0.502
Se 0.091 0.815 0.182

VASP calculation (PBE-GGA) on an optimized crystal structure of HoTh6Se12.

Output
The spin magnetization comes out at 0.002 μB/f.u. The value obtained for the energy relative to the elements, uncorrected is -1.6632 eV/atom.

abc: 8.419 8.419 8.419
angles: 100.26 100.26 100.26
Positions (direct):
Th 0.307 0.137 0.633
Se 0.825 0.576 0.436
Se 0.064 0.960 0.326
Th 0.367 0.693 0.863
Se 0.564 0.175 0.424
Th 0.633 0.307 0.137
Se 0.674 0.936 0.040
Se 0.040 0.674 0.936
Se 0.424 0.564 0.175
Th 0.137 0.633 0.307
Se 0.175 0.424 0.564
Th 0.863 0.367 0.693
Se 0.576 0.436 0.825
Th 0.693 0.863 0.367
Se 0.436 0.825 0.576
Ho 0.000 0.000 0.000
Se 0.326 0.064 0.960
Se 0.960 0.326 0.064
Se 0.936 0.040 0.674

VASP calculation (PBE-GGA) on an optimized crystal structure of HoThSe3.

Output
The spin magnetization comes out at 0.000 μB/f.u. The value obtained for the energy relative to the elements, uncorrected is -1.7651 eV/atom.

abc: 4.138 7.773 15.792
angles: 90.00 90.00 90.00
Positions (direct):
Se 0.250 0.377 0.565
Ho 0.250 0.264 0.956
Se 0.750 0.991 0.606
Se 0.750 0.344 0.279
Th 0.250 0.124 0.205
Se 0.250 0.009 0.394
Se 0.250 0.509 0.106
Ho 0.250 0.764 0.544
Se 0.250 0.156 0.779
Se 0.750 0.623 0.435
Se 0.250 0.656 0.721
Se 0.750 0.491 0.894
Th 0.750 0.876 0.795
Ho 0.750 0.736 0.044
Se 0.750 0.844 0.221
Se 0.750 0.123 0.065
Se 0.250 0.877 0.935
Th 0.250 0.624 0.295
Ho 0.750 0.236 0.456
Th 0.750 0.376 0.705

VASP calculation (PBE-GGA) on an optimized crystal structure of Ho3ThSe6.

Output
The spin magnetization comes out at 0.000 μB/f.u. The value obtained for the energy relative to the elements, uncorrected is -1.8312 eV/atom.

abc: 4.081 11.560 11.865
angles: 108.53 90.00 90.00
Positions (direct):
Se 0.250 0.194 0.252
Se 0.750 0.917 0.096
Th 0.750 0.047 0.697
Se 0.750 0.742 0.274
Se 0.250 0.258 0.726
Ho 0.750 0.433 0.835
Se 0.750 0.394 0.062
Ho 0.250 0.567 0.165
Ho 0.250 0.321 0.500
Se 0.250 0.883 0.533
Se 0.250 0.606 0.938
Ho 0.250 0.841 0.919
Se 0.750 0.806 0.748
Ho 0.750 0.679 0.500
Se 0.250 0.518 0.383
Se 0.250 0.083 0.904
Se 0.750 0.482 0.617
Se 0.750 0.117 0.467
Ho 0.750 0.159 0.081
Th 0.250 0.953 0.303

VASP calculation (PBE-GGA) on an optimized crystal structure of Ho2ThSe4.

Output
The spin magnetization comes out at 0.000 μB/f.u. The value obtained for the energy relative to the elements, uncorrected is -1.7251 eV/atom.

abc: 4.031 7.003 13.687
angles: 90.00 90.00 106.73
Positions (direct):
Se 0.227 0.454 0.623
Se 0.036 0.072 0.250
Ho 0.134 0.268 0.066
Se 0.227 0.454 0.877
Th 0.625 0.250 0.750
Se 0.773 0.546 0.123
Se 0.964 0.928 0.750
Th 0.375 0.750 0.250
Ho 0.134 0.268 0.434
Se 0.500 0.000 0.000
Ho 0.866 0.732 0.566
Se 0.773 0.546 0.377
Se 0.500 0.000 0.500
Ho 0.866 0.732 0.934

VASP calculation (PBE-GGA) on an optimized crystal structure of HoTh2Se5.

Output
The spin magnetization comes out at 0.000 μB/f.u. The value obtained for the energy relative to the elements, uncorrected is -1.7430 eV/atom.

abc: 4.064 8.224 12.537
angles: 90.00 90.00 90.00
Positions (direct):
Se 0.000 0.314 0.306
Se 0.000 0.814 0.194
Se 0.000 0.000 0.500
Se 0.500 0.331 0.604
Se 0.500 0.831 0.896
Th 0.500 0.018 0.322
Th 0.500 0.518 0.178
Th 0.500 0.482 0.822
Se 0.500 0.169 0.104
Ho 0.000 0.500 0.500
Se 0.000 0.500 0.000
Se 0.500 0.669 0.396
Ho 0.000 0.000 0.000
Se 0.000 0.186 0.806
Se 0.000 0.686 0.694
Th 0.500 0.982 0.678